A relaxed SrTl2Br crystal. Source: Alexandria via LeMat-Bulk, functional PBE.

Output
Formation energy (no corrections)   -30.89 kJ/mol of atoms
Energy above the lowest structure with this stoichiometry   9.28 kcal/mol of atoms
ρ   6.55 g cm⁻³
Raw total energy   -2.3419 eV/atom

Cell lengths 10.2859, 10.2859, 10.2859 Å; angles 23.03, 23.03, 23.03 degrees
With the nearest neighbours (Å) after each atom.
Sites, in units of the cell vectors:
Sr 0.0000 0.0000 0.0000  6 Tl 3.65
Tl 0.2409 0.2409 0.2409  3 Br 3.25
Tl 0.7591 0.7591 0.7591  3 Br 3.25
Br 0.5000 0.5000 0.5000  6 Tl 3.25

A relaxed BaMoAs crystal. Source: Alexandria via LeMat-Bulk, functional PBE.

Output
Energy above the lowest structure with this stoichiometry   23.71 kcal/mol of atoms
ρ   5.36 g cm⁻³
Raw total energy   -5.2388 eV/atom
ΔE_f   0.56 eV/atom

Cell lengths 5.1311, 5.1311, 5.1311 Å; angles 60.00, 60.00, 60.00 degrees
With the nearest neighbours (Å) after each atom.
Sites, in units of the cell vectors:
Ba 0.0000 0.0000 0.0000  4 As 3.14
Mo 0.5000 0.5000 0.5000  4 As 3.14
As 0.7500 0.7500 0.7500  4 Mo 3.14, 4 Ba 3.14

A relaxed Ac12Sn6O crystal. Source: Alexandria via LeMat-Bulk, functional PBE.

Output
Formation energy (no corrections)   -57.02 kJ/mol of atoms
ρ   7.51 g cm⁻³
Raw total energy   -4.7108 eV/atom

Cell lengths 9.2810, 9.2810, 9.2810 Å; angles 99.39, 99.39, 99.39 degrees
With the nearest neighbours (Å) after each atom.
Sites, in units of the cell vectors:
Ac 0.0126 0.6966 0.9320  1 O 2.81
Ac 0.0680 0.9874 0.3034  1 O 2.81
Ac 0.1866 0.4272 0.5554  4 Sn 3.33-3.58
Ac 0.3034 0.0680 0.9874  1 O 2.81
Ac 0.4272 0.5554 0.1866  4 Sn 3.33-3.58
Ac 0.4446 0.8134 0.5728  4 Sn 3.33-3.58
Ac 0.5554 0.1866 0.4272  4 Sn 3.33-3.58
Ac 0.5728 0.4446 0.8134  4 Sn 3.33-3.58
Ac 0.6966 0.9320 0.0126  1 O 2.81
Ac 0.8134 0.5728 0.4446  4 Sn 3.33-3.58
Ac 0.9320 0.0126 0.6966  1 O 2.81
Ac 0.9874 0.3034 0.0680  1 O 2.81
Sn 0.1217 0.6414 0.2935  7 Ac 3.32-3.58
Sn 0.2935 0.1217 0.6414  7 Ac 3.32-3.58
Sn 0.3586 0.7065 0.8783  7 Ac 3.32-3.58
Sn 0.6414 0.2935 0.1217  7 Ac 3.32-3.58
Sn 0.7065 0.8783 0.3586  7 Ac 3.32-3.58
Sn 0.8783 0.3586 0.7065  7 Ac 3.32-3.58
O 0.0000 0.0000 0.0000  6 Ac 2.81

A relaxed MnAs2P crystal. Source: Alexandria via LeMat-Bulk, functional PBE.

Output
ρ   5.79 g cm⁻³
Raw total energy   -5.8685 eV/atom
ΔE_f   0.10 eV/atom

Cell lengths 4.1545, 4.1933, 4.1933 Å; angles 67.83, 90.00, 90.00 degrees
With the nearest neighbours (Å) after each atom.
Sites, in units of the cell vectors:
Mn 0.0000 0.0000 0.0000  2 P 2.34, 4 As 2.48-2.54
As 0.0000 0.3839 0.3839  3 Mn 2.48-2.67, 2 P 2.62
As 0.5000 0.7899 0.7899  3 P 2.52-2.53, 2 Mn 2.54
P 0.5000 0.1539 0.1539  2 Mn 2.34, 3 As 2.52-2.53

A relaxed Pm2PrSm4Er crystal. Source: Alexandria via LeMat-Bulk, functional PBE.

Output
ρ   7.22 g cm⁻³
Raw total energy   -4.3257 eV/atom
ΔE_f   0.39 eV/atom

Cell lengths 9.6080, 9.6080, 6.9085 Å; angles 111.03, 111.03, 88.45 degrees
With the nearest neighbours (Å) after each atom.
Sites, in units of the cell vectors:
Pm 0.0000 0.0000 0.0000  6 Sm 3.42-3.52, 2 Pm 3.45
Pm 0.0000 0.0000 0.5000  6 Sm 3.42-3.52, 2 Pm 3.45
Pm 0.0000 0.5000 0.0000  6 Sm 3.34-3.45, 2 Pr 3.45
Pm 0.5000 0.0000 0.5000  6 Sm 3.34-3.45, 2 Pr 3.45
Pr 0.0000 0.5000 0.5000  6 Sm 3.36-3.45, 2 Pm 3.45
Pr 0.5000 0.0000 0.0000  6 Sm 3.36-3.45, 2 Pm 3.45
Sm 0.2530 0.2542 0.0138  3 Pm 3.34-3.52, 1 Pr 3.36, 2 Er 3.37-3.44, 2 Sm 3.45
Sm 0.2542 0.2530 0.5138  3 Pm 3.34-3.52, 1 Pr 3.36, 2 Er 3.37-3.44, 2 Sm 3.45
Sm 0.2550 0.7441 0.0001  1 Er 3.28, 3 Pm 3.42-3.45, 2 Pr 3.44-3.45, 2 Sm 3.45-3.46
Sm 0.2559 0.7450 0.4999  1 Er 3.28, 3 Pm 3.42-3.45, 2 Pr 3.44-3.45, 2 Sm 3.45-3.46
Sm 0.7441 0.2550 0.5001  1 Er 3.28, 3 Pm 3.42-3.45, 2 Pr 3.44-3.45, 2 Sm 3.45-3.46
Sm 0.7450 0.2559 0.9999  1 Er 3.28, 3 Pm 3.42-3.45, 2 Pr 3.44-3.45, 2 Sm 3.45-3.46
Sm 0.7458 0.7470 0.4862  3 Pm 3.34-3.52, 1 Pr 3.36, 2 Er 3.37-3.44, 2 Sm 3.45
Sm 0.7470 0.7458 0.9862  3 Pm 3.34-3.52, 1 Pr 3.36, 2 Er 3.37-3.44, 2 Sm 3.45
Er 0.5000 0.5000 0.0000  6 Sm 3.28-3.44, 2 Er 3.45
Er 0.5000 0.5000 0.5000  6 Sm 3.28-3.44, 2 Er 3.45

A relaxed Sr3B2PdO8 crystal. Source: Alexandria via LeMat-Bulk, functional PBE.

Output
Formation energy (no corrections)   -210.34 kJ/mol of atoms
ρ   5.14 g cm⁻³
Raw total energy   -6.6985 eV/atom

Cell lengths 5.2860, 5.2860, 6.9336 Å; angles 90.00, 90.00, 120.00 degrees
With the nearest neighbours (Å) after each atom.
Sites, in units of the cell vectors:
Sr 0.0000 0.0000 0.0000  6 O 2.65
Sr 0.3333 0.6667 0.6927  7 O 2.40-2.64
Sr 0.6667 0.3333 0.3073  7 O 2.40-2.64
B 0.3333 0.6667 0.2420  4 O 1.41-1.52
B 0.6667 0.3333 0.7580  4 O 1.41-1.52
Pd 0.0000 0.0000 0.5000  6 O 2.09
O 0.1738 0.3476 0.3051  1 B 1.52
O 0.1738 0.8262 0.3051  1 B 1.52
O 0.3333 0.6667 0.0391  1 B 1.41
O 0.3476 0.1738 0.6949  1 B 1.52
O 0.6524 0.8262 0.3051  1 B 1.52
O 0.6667 0.3333 0.9609  1 B 1.41
O 0.8262 0.1738 0.6949  1 B 1.52
O 0.8262 0.6524 0.6949  1 B 1.52